Computed, not measured: a relaxed Li2ZnPd4 crystal at the PBE-GGA level of DFT.

a b c (Å): 4.608 4.608 12.629
angles (deg): 90.00 90.00 90.00
Space group I4/mmm (No. 139)
Inequivalent atoms, fractional coordinates:
Li: 0.000 0.000 0.115
Zn: 0.000 0.000 0.500
Pd: 0.000 0.000 0.310
Pd: 0.000 0.500 0.000

**M_tot**: 0.00 μB/f.u.
**Crystal system**: tetragonal
**Energy relative to the elements**: 0.1984 eV/atom
**N(E_F)**: 1.80 states/eV/f.u.
**Distance to the lowest polymorph of the same formula**: 520 meV per atom

=====

Computed, not measured: a relaxed Hg2POs crystal at the PBE-GGA level of DFT.

a b c (Å): 3.079 5.487 4.472
angles (deg): 90.00 95.31 90.00
Space group P2/m (No. 10)
Inequivalent atoms, fractional coordinates:
Hg: 0.248 0.000 0.250
P: 0.500 0.500 0.500
Os: 0.000 0.500 0.000

**M_tot**: 0.51 μB/f.u.
**Crystal system**: monoclinic
**Energy relative to the elements**: 0.9100 eV/atom
**N(E_F)**: 2.32 states/eV/f.u.

=====

Computed, not measured: a relaxed PmZn6 crystal at the PBE-GGA level of DFT.

a b c (Å): 8.688 5.208 10.638
angles (deg): 90.00 90.00 90.00
Space group Pnma (No. 62)
Inequivalent atoms, fractional coordinates:
Pm: 0.238 0.250 0.059
Zn: 0.053 0.750 0.092
Zn: 0.063 0.011 0.307
Zn: 0.083 0.250 0.521
Zn: 0.140 0.750 0.855
Zn: 0.197 0.250 0.750

**M_tot**: 0.00 μB/f.u.
**Crystal system**: orthorhombic
**Energy relative to the elements**: -0.2264 eV/atom
**N(E_F)**: 3.63 states/eV/f.u.

=====

Computed, not measured: a relaxed Nd2HoScSe4 crystal at the PBE-GGA level of DFT.

a b c (Å): 7.019 4.032 7.280
angles (deg): 90.00 108.61 90.00
Space group P2/m (No. 10)
Inequivalent atoms, fractional coordinates:
Nd: 0.000 0.000 0.000
Nd: 0.500 0.500 0.000
Ho: 0.000 0.500 0.500
Sc: 0.500 0.000 0.500
Se: 0.249 0.000 0.729
Se: 0.265 0.500 0.275

**M_tot**: 0.00 μB/f.u.
**Crystal system**: monoclinic
**N(E_F)**: 4.13 states/eV/f.u.
**Formation energy from raw total energies**: -13.9 eV/f.u.

=====

Computed, not measured: a relaxed BeNi2PRh crystal at the PBE-GGA level of DFT.

a b c (Å): 4.536 4.536 4.000
angles (deg): 90.00 90.00 90.00
Space group P4/mmm (No. 123)
Inequivalent atoms, fractional coordinates:
Be: 0.000 0.000 0.000
Ni: 0.000 0.500 0.500
P: 0.500 0.500 0.000
Rh: 0.000 0.000 0.500

**M_tot**: 1.79 μB/f.u.
**Crystal system**: tetragonal
**Energy relative to the elements**: 1.1050 eV/atom
**N(E_F)**: 5.11 states/eV/f.u.

=====

Computed, not measured: a relaxed Mn2RuSe crystal at the PBE-GGA level of DFT.

a b c (Å): 3.093 3.093 5.860
angles (deg): 90.00 90.00 90.00
Space group P4mm (No. 99)
Inequivalent atoms, fractional coordinates:
Mn: 0.000 0.000 0.000
Mn: 0.500 0.500 0.258
Ru: 0.000 0.000 0.482
Se: 0.500 0.500 0.795

**M_tot**: 5.11 μB/f.u.
**Crystal system**: tetragonal
**N(E_F)**: 3.45 states/eV/f.u.
**Formation energy from raw total energies**: 0.6 eV/f.u.

=====

Computed, not measured: a relaxed Pr4Sm3Pt2 crystal at the PBE-GGA level of DFT.

a b c (Å): 17.203 3.864 9.358
angles (deg): 90.00 112.36 90.00
Space group C2/m (No. 12)
Inequivalent atoms, fractional coordinates:
Pr: 0.128 0.000 0.384
Pr: 0.230 0.500 0.159
Sm: 0.000 0.500 0.000
Sm: 0.071 0.500 0.684
Pt: 0.117 0.000 0.937

**M_tot**: 0.00 μB/f.u.
**Crystal system**: monoclinic
**Energy relative to the elements**: -0.4998 eV/atom
**N(E_F)**: 10.17 states/eV/f.u.

=====

Computed, not measured: a relaxed Lu3Ga5S12 crystal at the PBE-GGA level of DFT.

a b c (Å): 14.941 14.941 14.941
angles (deg): 90.00 90.00 90.00
Space group Ia-3d (No. 230)
Inequivalent atoms, fractional coordinates:
Lu: 0.000 0.250 0.125
Ga: 0.000 0.000 0.000
Ga: 0.000 0.250 0.375
S: 0.025 0.061 0.651

**M_tot**: 0.00 μB/f.u.
**Crystal system**: cubic
**Formation energy from raw total energies**: -22.4 eV/f.u.

=====

Computed, not measured: a relaxed NaCaAs3 crystal at the PBE-GGA level of DFT.

a b c (Å): 5.043 5.043 5.043
angles (deg): 90.00 90.00 90.00
Space group Pm-3m (No. 221)
Inequivalent atoms, fractional coordinates:
Na: 0.000 0.000 0.000
Ca: 0.500 0.500 0.500
As: 0.000 0.000 0.500

**M_tot**: 0.00 μB/f.u.
**Crystal system**: cubic
**Energy relative to the elements**: 0.2857 eV/atom
**N(E_F)**: 2.88 states/eV/f.u.
**Distance to the lowest polymorph of the same formula**: 717 meV per atom

=====

Computed, not measured: a relaxed Dy4Ho3Sc crystal at the PBE-GGA level of DFT.

a b c (Å): 8.737 8.737 12.653
angles (deg): 90.00 90.00 90.00
Space group I4/mcm (No. 140)
Inequivalent atoms, fractional coordinates:
Dy: 0.151 0.349 0.163
Ho: 0.000 0.000 0.250
Ho: 0.148 0.352 0.500
Sc: 0.000 0.000 0.000

**M_tot**: 0.00 μB/f.u.
**Crystal system**: tetragonal
**Energy relative to the elements**: 0.0942 eV/atom
**N(E_F)**: 11.18 states/eV/f.u.
**Distance to the lowest polymorph of the same formula**: 80 meV per atom

=====

Computed, not measured: a relaxed Li2CdPd6 crystal at the PBE-GGA level of DFT.

a b c (Å): 2.811 8.390 11.808
angles (deg): 90.00 90.00 90.00
Space group Immm (No. 71)
Inequivalent atoms, fractional coordinates:
Li: 0.000 0.000 0.166
Cd: 0.000 0.000 0.500
Pd: 0.000 0.332 0.170
Pd: 0.000 0.340 0.500

**M_tot**: 0.00 μB/f.u.
**Crystal system**: orthorhombic
**Energy relative to the elements**: -0.2661 eV/atom
**N(E_F)**: 8.73 states/eV/f.u.
**Distance to the lowest polymorph of the same formula**: 0 meV per atom

=====

Computed, not measured: a relaxed Y2Ga12Ni crystal at the PBE-GGA level of DFT.

a b c (Å): 6.046 6.046 15.294
angles (deg): 90.00 90.00 90.00
Space group P4/nbm (No. 125, origin choice 2)
Inequivalent atoms, fractional coordinates:
Y: 0.250 0.750 0.241
Ga: 0.000 0.000 0.085
Ga: 0.084 0.584 0.430
Ga: 0.250 0.250 0.185
Ga: 0.250 0.250 0.344
Ni: 0.250 0.750 0.000

**M_tot**: 0.00 μB/f.u.
**Crystal system**: tetragonal
**Energy relative to the elements**: -0.3607 eV/atom
**N(E_F)**: 4.90 states/eV/f.u.

=====

Computed, not measured: a relaxed Re2RuPt crystal at the PBE-GGA level of DFT.

a b c (Å): 2.7583 2.7583 27.0638
angles (deg): 90.00 90.00 120.00
Space group R3m (No. 160, hexagonal axes)
Inequivalent atoms, fractional coordinates:
Re: 0.0000 0.0000 0.0000
Re: 0.0000 0.0000 0.2503
Ru: 0.0000 0.0000 0.7468
Pt: 0.0000 0.0000 0.4992

**M_tot**: 0.00 μB/f.u.
**Crystal system**: trigonal
**Energy relative to the elements**: 0.0119 eV/atom
**N(E_F)**: 4.83 states/eV/f.u.
**Distance to the lowest polymorph of the same formula**: 139 meV per atom

=====

Computed, not measured: a relaxed Fe2CoHg crystal at the PBE-GGA level of DFT.

a b c (Å): 3.049 3.049 6.006
angles (deg): 90.00 90.00 90.00
Space group P4mm (No. 99)
Inequivalent atoms, fractional coordinates:
Fe: 0.000 0.000 0.000
Fe: 0.500 0.500 0.207
Co: 0.500 0.500 0.803
Hg: 0.000 0.000 0.507

**M_tot**: 6.77 μB/f.u.
**Crystal system**: tetragonal
**Energy relative to the elements**: 0.2292 eV/atom
**N(E_F)**: 1.36 states/eV/f.u.

=====

Computed, not measured: a relaxed BaLi2GaAu4 crystal at the PBE-GGA level of DFT.

a b c (Å): 4.5672 4.5672 28.3543
angles (deg): 90.00 90.00 120.00
Space group R-3m (No. 166, hexagonal axes)
Inequivalent atoms, fractional coordinates:
Ba: 0.0000 0.0000 0.0000
Li: 0.0000 0.0000 0.2306
Ga: 0.0000 0.0000 0.5000
Au: 0.0000 0.0000 0.1330
Au: 0.0000 0.0000 0.4076

**M_tot**: 0.00 μB/f.u.
**Crystal system**: trigonal
**Energy relative to the elements**: -0.5108 eV/atom
**N(E_F)**: 2.01 states/eV/f.u.